First-principles (PBE-GGA) data for crystalline KMnBe2 at its relaxed geometry, as listed in Alexandria.

POSCAR file:
```
KMnBe2
1.0
-3.1381 0.8289 -1.9625
-1.4840 -0.1552 2.3074
1.0735 6.7506 1.1346
K Be Mn
1 2 1
Cartesian
-0.3885 3.2732 2.0037
0.8405 6.4370 1.3747
-1.6013 1.3693 -0.5264
-1.5309 6.3932 1.4829
```

Summary:
**Energy relative to the lowest polymorph listed for this composition**: 0.1881 eV/atom
**DOS at the Fermi energy**: 0.509 states/eV/atom
**Formation energy**: 0.645 eV per atom
**SG**: No. 6